(1)
Computed, not measured: a geometry-optimized MnZnNi structure at the PBE-GGA level of DFT.

abc: 2.768 3.471 4.568
angles: 112.33 107.63 90.00
Positions (direct):
Mn (0.006, 0.006, 0.011)
Ni (0.665, 0.665, 0.330)
Zn (0.330, 0.330, 0.659)

For the density of states at the Fermi level, the calculation gives 1.22 states/eV/f.u. The formation energy comes out at -84 meV/atom. Its total moment is 4.0 μB/f.u.

(2)
Computed, not measured: a geometry-optimized Sb2TeW structure at the PBE-GGA level of DFT.

abc: 3.085 3.085 11.205
angles: 90.00 90.00 106.19
Positions (direct):
W (0.500, 0.500, 0.750)
Sb (0.000, 0.000, 0.559)
Sb (0.000, 0.000, 0.941)
Te (0.500, 0.500, 0.250)

For the density of states at the Fermi level, the calculation gives 2.74 states/eV/f.u. For the formation energy without anion corrections, the calculation gives 0.4424 eV/atom. Its total moment is 0.0 μB/f.u.

(3)
Computed, not measured: a geometry-optimized Ca3Nd4Ga4 structure at the PBE-GGA level of DFT.

abc: 5.195 7.620 9.428
angles: 113.83 105.99 90.00
Positions (direct):
Nd (0.327, 0.544, 0.654)
Ca (0.895, 0.895, 0.789)
Ga (0.193, 0.693, 0.387)
Ca (0.000, 0.500, 0.000)
Ga (0.807, 0.307, 0.613)
Ga (0.500, 0.832, 0.000)
Ca (0.105, 0.105, 0.211)
Ga (0.500, 0.168, 0.000)
Nd (0.673, 0.456, 0.346)
Nd (0.673, 0.890, 0.346)
Nd (0.327, 0.110, 0.654)

For the density of states at the Fermi level, the calculation gives 8.91 states/eV/f.u. The formation energy comes out at -301 meV/atom. Its total moment is 0.0 μB/f.u.

(4)
Computed, not measured: a geometry-optimized Pu2TeP structure at the PBE-GGA level of DFT.

abc: 4.109 4.109 7.723
angles: 74.57 74.57 60.00
Positions (direct):
Te (0.498, 0.498, 0.505)
Pu (0.071, 0.071, 0.788)
Pu (0.262, 0.262, 0.213)
P (0.669, 0.669, 0.993)

For the density of states at the Fermi level, the calculation gives 19.34 states/eV/f.u. For the formation energy without anion corrections, the calculation gives -1.0881 eV/atom. The excess energy over the best structure of this formula in the dataset comes out at 0.057 eV/atom. Its total moment is 11.0 μB/f.u.

(5)
Computed, not measured: a geometry-optimized ZrI2O2 structure at the PBE-GGA level of DFT.

abc: 4.243 4.243 6.462
angles: 90.00 90.00 90.00
Positions (direct):
Zr (0.000, 0.000, 0.000)
I (0.500, 0.500, 0.500)
O (0.500, 0.000, 0.000)
I (0.000, 0.000, 0.500)
O (0.000, 0.500, 0.000)

For the density of states at the Fermi level, the calculation gives 2.58 states/eV/f.u. For the formation energy without anion corrections, the calculation gives -1.2279 eV/atom. The excess energy over the best structure of this formula in the dataset comes out at 0.000 eV/atom. Its total moment is 0.0 μB/f.u.

(6)
Computed, not measured: a geometry-optimized Cs2InBi2 structure at the PBE-GGA level of DFT.

abc: 8.365 8.365 6.419
angles: 90.00 90.00 90.00
Positions (direct):
Bi (0.634, 0.134, 0.000)
Bi (0.134, 0.366, 0.000)
In (0.500, 0.500, 0.000)
Cs (0.331, 0.169, 0.500)
Cs (0.831, 0.331, 0.500)
In (0.000, 0.000, 0.000)
Cs (0.669, 0.831, 0.500)
Bi (0.866, 0.634, 0.000)
Bi (0.366, 0.866, 0.000)
Cs (0.169, 0.669, 0.500)

For the density of states at the Fermi level, the calculation gives 2.05 states/eV/f.u. The excess energy over the best structure of this formula in the dataset comes out at 0.063 eV/atom. The formation energy comes out at -246 meV/atom. Its total moment is 0.0 μB/f.u.

(7)
Computed, not measured: a geometry-optimized TcHg4 structure at the PBE-GGA level of DFT.

abc: 8.449 8.449 8.449
angles: 153.19 153.19 38.27
Positions (direct):
Hg (0.590, 0.590, 0.000)
Tc (0.000, 0.000, 0.000)
Hg (0.410, 0.410, 0.000)
Hg (0.750, 0.250, 0.500)
Hg (0.250, 0.750, 0.500)

For the density of states at the Fermi level, the calculation gives 3.18 states/eV/f.u. The excess energy over the best structure of this formula in the dataset comes out at 0.371 eV/atom. The formation energy comes out at 793 meV/atom. Its total moment is 3.1 μB/f.u.

(8)
Computed, not measured: a geometry-optimized GeTe6Pb5 structure at the PBE-GGA level of DFT.

abc: 7.926 7.933 7.924
angles: 59.96 80.40 70.54
Positions (direct):
Te (0.238, 0.921, 0.683)
Pb (0.500, 0.829, 0.341)
Te (0.762, 0.079, 0.317)
Te (0.762, 0.396, 0.683)
Te (0.755, 0.765, 0.000)
Pb (0.500, 0.500, 0.000)
Ge (0.000, 0.000, 0.000)
Pb (0.000, 0.334, 0.332)
Te (0.245, 0.235, 0.000)
Pb (0.000, 0.666, 0.668)
Pb (0.500, 0.171, 0.659)
Te (0.238, 0.604, 0.317)

For the formation energy without anion corrections, the calculation gives -0.3370 eV/atom. Its total moment is 0.0 μB/f.u.

(9)
Computed, not measured: a geometry-optimized YSi3Ir3 structure at the PBE-GGA level of DFT.

abc: 6.540 6.540 6.540
angles: 90.00 90.00 90.00
Positions (direct):
Ir (0.000, 0.500, 0.750)
Ir (0.750, 0.000, 0.500)
Si (0.000, 0.750, 0.500)
Y (0.000, 0.000, 0.000)
Si (0.500, 0.000, 0.250)
Ir (0.000, 0.500, 0.250)
Ir (0.250, 0.000, 0.500)
Si (0.000, 0.250, 0.500)
Ir (0.500, 0.750, 0.000)
Ir (0.500, 0.250, 0.000)
Si (0.500, 0.000, 0.750)
Si (0.750, 0.500, 0.000)
Si (0.250, 0.500, 0.000)
Y (0.500, 0.500, 0.500)

For the density of states at the Fermi level, the calculation gives 5.16 states/eV/f.u. For the formation energy without anion corrections, the calculation gives -0.4119 eV/atom. The excess energy over the best structure of this formula in the dataset comes out at 0.221 eV/atom. Its total moment is 0.0 μB/f.u.

(10)
Computed, not measured: a geometry-optimized K2RbBaNa structure at the PBE-GGA level of DFT.

abc: 7.123 7.123 7.428
angles: 90.00 90.00 90.00
Positions (direct):
Ba (0.000, 0.000, 0.500)
K (0.000, 0.500, 0.000)
K (0.500, 0.000, 0.000)
Rb (0.500, 0.500, 0.500)
Na (0.000, 0.000, 0.000)

For the density of states at the Fermi level, the calculation gives 5.48 states/eV/f.u. The formation energy comes out at 174 meV/atom. Its total moment is 0.0 μB/f.u.

(11)
Computed, not measured: a geometry-optimized PrTmAgAu structure at the PBE-GGA level of DFT.

abc: 3.613 3.613 7.516
angles: 90.00 90.00 90.00
Positions (direct):
Tm (0.000, 0.000, 0.350)
Ag (0.500, 0.500, 0.579)
Au (0.500, 0.500, 0.137)
Pr (0.000, 0.000, 0.862)

For the density of states at the Fermi level, the calculation gives 1.75 states/eV/f.u. The excess energy over the best structure of this formula in the dataset comes out at 0.000 eV/atom. The formation energy comes out at -570 meV/atom. Its total moment is 0.0 μB/f.u.

(12)
Computed, not measured: a geometry-optimized CaSiAs structure at the PBE-GGA level of DFT.

abc: 5.687 5.662 3.567
angles: 72.07 71.29 36.64
Positions (direct):
Si (0.625, 0.625, 0.375)
Ca (0.334, 0.334, 0.666)
As (0.042, 0.042, 0.958)

For the density of states at the Fermi level, the calculation gives 1.51 states/eV/f.u. For the formation energy without anion corrections, the calculation gives -0.3281 eV/atom. Its total moment is 0.0 μB/f.u.

Number 6 is which compound?
Cs2InBi2

What is the total moment in the ninth record?
0.0 μB/f.u.